NaCaTbWO6: relaxed, PBE+U.

Cell and atoms, written as CIF:
```
data_NaCaTbWO6
_chemical_formula_sum 'Na4 Ca4 Tb4 W4 O24'
_symmetry_space_group_name_H-M 'F -4 3 m'
_symmetry_Int_Tables_number 216
_symmetry_space_group_name_Hall 'F -4 2 3'
_cell_length_a 8.325
_cell_length_b 8.325
_cell_length_c 8.325
_cell_angle_alpha 90.00
_cell_angle_beta 90.00
_cell_angle_gamma 90.00
loop_
_atom_site_label
_atom_site_type_symbol
_atom_site_fract_x
_atom_site_fract_y
_atom_site_fract_z
Na1 Na 0.000 0.000 0.000
Ca1 Ca 0.000 0.000 0.500
Tb1 Tb 0.250 0.250 0.750
W1 W 0.250 0.250 0.250
O1 O 0.017 0.250 0.250
```

electronic total energy = -7.0332 eV/atom
total magnetization = 0.000 μB per atom